No. 1
Compound: K2TaW
Source: Alexandria via LeMat-Bulk
Functional: PBE
Structure: optimized geometry

Values from the calculation:
Polymorph energy (0 for the lowest one) = 564 meV/atom
Space group = P2/m, No. 10

Cell lengths 2.8475, 6.4452, 5.1530 Å; angles 90.00, 95.77, 90.00 degrees
Positions (direct):
K (0.2502, 0.0000, 0.2477)
K (0.7498, 0.0000, 0.7523)
Ta (0.0000, 0.5000, 0.5000)
W (0.5000, 0.5000, 0.0000)

---

No. 2
Compound: KTa2W
Source: Alexandria via LeMat-Bulk
Functional: PBE
Structure: optimized geometry

Values from the calculation:
Polymorph energy (0 for the lowest one) = 733 meV/atom
Space group = Imm2, No. 44

Cell lengths 6.2365, 6.2365, 6.2365 Å; angles 153.57, 127.09, 60.10 degrees
Positions (direct):
K (0.0000, 0.0000, 0.0000)
Ta (0.2856, 0.7856, 0.5000)
Ta (0.5151, 0.5151, 0.0000)
W (0.7269, 0.2269, 0.5000)

---

No. 3
Compound: K2TaW
Source: Alexandria via LeMat-Bulk
Functional: PBE
Structure: optimized geometry

Values from the calculation:
Polymorph energy (0 for the lowest one) = 564 meV/atom
Space group = C2/m, No. 12

Cell lengths 7.0318, 7.0318, 2.8500 Å; angles 99.49, 99.49, 132.86 degrees
Positions (direct):
K (0.0000, 0.5000, 0.0000)
K (0.5000, 0.0000, 0.0000)
Ta (0.0000, 0.0000, 0.5000)
W (0.5000, 0.5000, 0.5000)

---

No. 4
Compound: KTa2W
Source: Alexandria via LeMat-Bulk
Functional: PBE
Structure: optimized geometry

Values from the calculation:
Polymorph energy (0 for the lowest one) = 0 meV/atom
Space group = Cmmm, No. 65

Cell lengths 2.9246, 2.9246, 10.9284 Å; angles 90.00, 90.00, 113.31 degrees
Positions (direct):
K (0.0000, 0.0000, 0.0000)
Ta (0.5000, 0.5000, 0.3016)
Ta (0.5000, 0.5000, 0.6984)
W (0.0000, 0.0000, 0.5000)

---

No. 5
Compound: KTa4W
Source: Alexandria via LeMat-Bulk
Functional: PBE
Structure: optimized geometry

Values from the calculation:
Space group = F-43m, No. 216

Cell lengths 5.5765, 5.5765, 5.5765 Å; angles 60.00, 60.00, 60.00 degrees
Positions (direct):
K (0.0000, 0.0000, 0.0000)
Ta (0.1292, 0.6236, 0.6236)
Ta (0.6236, 0.1292, 0.6236)
Ta (0.6236, 0.6236, 0.1292)
Ta (0.6236, 0.6236, 0.6236)
W (0.2500, 0.2500, 0.2500)

---

No. 6
Compound: KTa2W
Source: Alexandria via LeMat-Bulk
Functional: PBE
Structure: optimized geometry

Values from the calculation:
Polymorph energy (0 for the lowest one) = 65 meV/atom
Space group = Cmm2, No. 35

Cell lengths 2.8679, 2.8679, 11.0057 Å; angles 90.00, 90.00, 112.10 degrees
Positions (direct):
K (0.0000, 0.0000, 0.0000)
Ta (0.0000, 0.0000, 0.4818)
Ta (0.5000, 0.5000, 0.6974)
W (0.5000, 0.5000, 0.2827)

---

No. 7
Compound: K2TaW
Source: Alexandria via LeMat-Bulk
Functional: PBE
Structure: optimized geometry

Values from the calculation:
Polymorph energy (0 for the lowest one) = 1105 meV/atom
Space group = I-42d, No. 122

Cell lengths 9.4423, 9.4423, 9.4423 Å; angles 93.50, 93.50, 151.37 degrees
Positions (direct):
K (0.3750, 0.2118, 0.3368)
K (0.7882, 0.1250, 0.1632)
K (0.8750, 0.0382, 0.6632)
K (0.9618, 0.6250, 0.8368)
Ta (0.2500, 0.7500, 0.5000)
Ta (0.5000, 0.5000, 0.0000)
W (0.0000, 0.0000, 0.0000)
W (0.7500, 0.2500, 0.5000)

---

No. 8
Compound: K2TaW
Source: Alexandria via LeMat-Bulk
Functional: PBE
Structure: optimized geometry

Values from the calculation:
Polymorph energy (0 for the lowest one) = 100 meV/atom
Space group = Cmm2, No. 35

Cell lengths 3.1287, 3.1287, 12.2920 Å; angles 90.00, 90.00, 113.35 degrees
Positions (direct):
K (0.0000, 0.0000, 0.0000)
K (0.5000, 0.5000, 0.3385)
Ta (0.5000, 0.5000, 0.7377)
W (0.0000, 0.0000, 0.5843)

---

No. 9
Compound: K2TaW
Source: Alexandria via LeMat-Bulk
Functional: PBE
Structure: optimized geometry

Values from the calculation:
Polymorph energy (0 for the lowest one) = 1805 meV/atom
Space group = Fm-3m, No. 225

Cell lengths 5.5431, 5.5431, 5.5431 Å; angles 60.00, 60.00, 60.00 degrees
Positions (direct):
K (0.2500, 0.2500, 0.2500)
K (0.7500, 0.7500, 0.7500)
Ta (0.0000, 0.0000, 0.0000)
W (0.5000, 0.5000, 0.5000)

---

No. 10
Compound: K2TaW
Source: Alexandria via LeMat-Bulk
Functional: PBE
Structure: optimized geometry

Values from the calculation:
Polymorph energy (0 for the lowest one) = 461 meV/atom
Space group = Imm2, No. 44

Cell lengths 7.1258, 7.1258, 7.1258 Å; angles 154.15, 124.65, 62.07 degrees
Positions (direct):
K (0.0000, 0.0000, 0.0000)
K (0.7095, 0.2095, 0.5000)
Ta (0.2898, 0.7898, 0.5000)
W (0.4395, 0.4395, 0.0000)

---

No. 11
Compound: K2TaW
Source: Alexandria via LeMat-Bulk
Functional: PBE
Structure: optimized geometry

Values from the calculation:
Polymorph energy (0 for the lowest one) = 573 meV/atom
Space group = Cmmm, No. 65

Cell lengths 2.8248, 2.8248, 12.8909 Å; angles 90.00, 90.00, 113.72 degrees
Positions (direct):
K (0.0000, 0.0000, 0.2414)
K (0.0000, 0.0000, 0.7586)
Ta (0.5000, 0.5000, 0.5000)
W (0.5000, 0.5000, 0.0000)

---

No. 12
Compound: KTa2W
Source: Alexandria via LeMat-Bulk
Functional: PBE
Structure: optimized geometry

Values from the calculation:
Polymorph energy (0 for the lowest one) = 972 meV/atom
Space group = P4/mmm, No. 123

Cell lengths 4.8503, 4.8503, 3.3134 Å; angles 90.00, 90.00, 90.00 degrees
Positions (direct):
K (0.0000, 0.0000, 0.0000)
Ta (0.0000, 0.5000, 0.5000)
Ta (0.5000, 0.0000, 0.5000)
W (0.5000, 0.5000, 0.0000)

---

D(E_F)? In order: 3.55, 3.88, 3.68, 2.68, 12.53, 2.82, 7.10, 3.72, 9.42, 2.00, 3.50, 4.67 states/eV per cell.
Energy relative to the elements? In order: 1.435, 1.352, 1.435, 0.619, 1.216, 0.684, 1.976, 0.971, 2.676, 1.332, 1.444, 1.591 eV/atom.